[1]
CaZn2Cu4Si | PBE-GGA | relaxed

Cell and atoms, written as POSCAR:
```
CaZn2Cu4Si
1.0
2.071 1.196 8.683
-2.071 1.196 8.683
0.000 -2.391 8.683
Ca Zn Cu Si
1 2 4 1
Direct
0.000 0.000 0.000
0.247 0.247 0.247
0.753 0.753 0.753
0.136 0.136 0.136
0.411 0.411 0.411
0.589 0.589 0.589
0.864 0.864 0.864
0.500 0.500 0.500
```

The calculation puts the formation energy (no corrections) at -0.0633 eV/atom.

=====

[2]
HfFeGe2 | PBE-GGA | relaxed

Cell and atoms, written as POSCAR:
```
HfFeGe2
1.0
0.000 3.176 3.176
3.176 0.000 3.176
3.176 3.176 0.000
Hf Fe Ge
1 1 2
Direct
0.000 0.000 0.000
0.500 0.500 0.500
0.250 0.250 0.250
0.750 0.750 0.750
```

The formation energy is 0.0441 eV/atom.

=====

Number 1: V 16.1 A^3/atom, energy -3.358 eV per atom. Number 2: V 16.0 A^3/atom, energy -6.869 eV per atom.